Density functional theory data (GGA-PBE) for Mg2Zr6HO after structural relaxation.

Results
Symmetry: No. 139
Total moment in μB/cell: 0.0
Calculated density in g cm⁻³: 5.5
V in Å³/cell: 185
E_tot in eV/atom: -6.87

The structure in POSCAR format:
```
Mg2Zr6HO
1.0
6.400 -0.004 0.002
-0.004 6.400 0.002
3.199 3.199 4.518
Mg Zr H O
2 6 1 1
Direct
0.750 0.250 0.500
0.250 0.750 0.500
0.256 0.256 0.488
0.745 0.745 0.000
0.255 0.745 0.000
0.745 0.255 0.000
0.255 0.255 0.000
0.744 0.744 0.512
0.500 0.500 0.000
0.000 0.000 0.000
```